No. 1
DFT (PBE-GGA) results for BaZnTeO after structural relaxation.

The space group is Pbca (No. 61) and the conventional cell measures 7.889, 8.041 and 13.693 Å, with angles of 90.00, 90.00 and 90.00 degrees. The asymmetric unit holds Ba at (0.100, 0.057, 0.207), Zn at (0.080, 0.692, 0.059), Te at (0.236, 0.072, 0.466) and O at (0.123, 0.726, 0.197).

As for the total energy: -138.94 eV per cell.

---

No. 2
DFT (PBE-GGA) results for BaZnTeO after structural relaxation.

The space group is P4/nmm (No. 129, origin choice 2) and the conventional cell measures 4.012, 4.012 and 12.041 Å, with angles of 90.00, 90.00 and 90.00 degrees. The asymmetric unit holds Ba at (0.250, 0.250, 0.114), Zn at (0.250, 0.750, 0.500), Te at (0.250, 0.250, 0.652) and O at (0.250, 0.250, 0.907).

As for the total energy: -33.05 eV per cell.

---

No. 3
DFT (PBE-GGA) results for BaZnTeO after structural relaxation.

The space group is Cmc2_1 (No. 36) and the conventional cell measures 4.416, 14.149 and 6.666 Å, with angles of 90.00, 90.00 and 90.00 degrees. The asymmetric unit holds Ba at (0.000, 0.126, 0.000), Zn at (0.000, 0.437, 0.089), Te at (0.000, 0.168, 0.504) and O at (0.000, 0.457, 0.390).

As for the total energy: -70.12 eV per cell.

---

No. 4
DFT (PBE-GGA) results for BaZnTeO after structural relaxation.

The space group is Pbca (No. 61) and the conventional cell measures 6.330, 8.560 and 14.198 Å, with angles of 90.00, 90.00 and 90.00 degrees. The asymmetric unit holds Ba at (0.246, 0.124, 0.155), Zn at (0.231, 0.625, 0.837), Te at (0.247, 0.125, 0.445) and O at (0.038, 0.124, 0.739).

As for the total energy: -139.79 eV per cell.

---

No. 5
DFT (PBE-GGA) results for BaZnTeO after structural relaxation.

The space group is P4/nmm (No. 129, origin choice 2) and the conventional cell measures 6.508, 6.508 and 6.645 Å, with angles of 90.00, 90.00 and 90.00 degrees. The asymmetric unit holds Ba at (0.250, 0.750, 0.000), Zn at (0.250, 0.250, 0.223), Te at (0.250, 0.250, 0.810) and O at (0.250, 0.250, 0.492).

As for the total energy: -28.96 eV per cell.

---

No. 6
DFT (PBE-GGA) results for BaZnTeO after structural relaxation.

The space group is Pnma (No. 62) and the conventional cell measures 6.616, 4.403 and 14.181 Å, with angles of 90.00, 90.00 and 90.00 degrees. The asymmetric unit holds Ba at (0.237, 0.250, 0.130), Zn at (0.184, 0.250, 0.818), Te at (0.241, 0.250, 0.423) and O at (0.116, 0.750, 0.211).

As for the total energy: -70.13 eV per cell.

---

No. 7
DFT (PBE-GGA) results for BaZnTeO after structural relaxation.

The space group is Cmc2_1 (No. 36) and the conventional cell measures 3.690, 13.355 and 7.990 Å, with angles of 90.00, 90.00 and 90.00 degrees. The asymmetric unit holds Ba at (0.000, 0.051, 0.000), Zn at (0.000, 0.330, 0.153), Te at (0.000, 0.327, 0.813) and O at (0.000, 0.100, 0.693).

As for the total energy: -64.17 eV per cell.

---

No. 8
DFT (PBE-GGA) results for BaTm2O4 after structural relaxation.

The space group is Pnma (No. 62) and the conventional cell measures 10.290, 3.402 and 11.945 Å, with angles of 90.00, 90.00 and 90.00 degrees. The asymmetric unit holds Ba at (0.247, 0.250, 0.150), Tm at (0.073, 0.250, 0.390), Tm at (0.078, 0.250, 0.892), O at (0.019, 0.750, 0.782), O at (0.069, 0.250, 0.574), O at (0.114, 0.750, 0.017) and O at (0.210, 0.750, 0.344).

As for the total energy: -216.17 eV per cell.

---

What did the first record say?
DFT (PBE-GGA) results for BaZnTeO after structural relaxation.

The space group is Pbca (No. 61) and the conventional cell measures 7.889, 8.041 and 13.693 Å, with angles of 90.00, 90.00 and 90.00 degrees. The asymmetric unit holds Ba at (0.100, 0.057, 0.207), Zn at (0.080, 0.692, 0.059), Te at (0.236, 0.072, 0.466) and O at (0.123, 0.726, 0.197).

As for the total energy: -138.94 eV per cell.

---

> What is the total energy in the second record?

-33.05 eV per cell

---

> Look up the total energy of the eighth one.

-216.17 eV per cell